Entry 1:
A relaxed structure of LiVF5, computed with PBE with a Hubbard U.

Structure (POSCAR):
```
LiVF5
1.0
5.2450 0.0000 0.0000
0.0000 9.7191 0.0000
-2.0759 0.0000 7.3175
Li V F
4 4 20
direct
0.0184 0.0181 0.3157
0.0184 0.4819 0.8157
0.9816 0.5181 0.1843
0.9816 0.9819 0.6843
0.4323 0.2491 0.1413
0.4323 0.2509 0.6413
0.5677 0.7491 0.3587
0.5677 0.7509 0.8587
0.1680 0.1142 0.5487
0.1680 0.3858 0.0487
0.1700 0.1257 0.1366
0.1700 0.3743 0.6366
0.3100 0.6232 0.8424
0.3100 0.8768 0.3424
0.3117 0.6158 0.2722
0.3117 0.8842 0.7722
0.4242 0.2002 0.8911
0.4242 0.2998 0.3911
0.5758 0.7002 0.6089
0.5758 0.7998 0.1089
0.6883 0.1158 0.2278
0.6883 0.3842 0.7278
0.6900 0.1232 0.6576
0.6900 0.3768 0.1576
0.8300 0.6257 0.3634
0.8300 0.8743 0.8634
0.8320 0.6142 0.9513
0.8320 0.8858 0.4513
```

Values from the calculation:
As for the symmetry: No. 14. The energy above the most stable polymorph in this dataset comes out at 3 kJ/mol of formula units. For the total energy, the calculation gives -5.4667 eV per atom.

***

Entry 2:
A relaxed structure of Li3V2F12, computed with PBE with a Hubbard U.

Structure (POSCAR):
```
Li3V2F12
1.0
5.2600 0.0000 0.0000
0.0000 10.1701 0.0000
-3.4728 0.0000 8.9312
Li V F
6 4 24
direct
0.0000 0.0000 0.0000
0.0000 0.5000 0.5000
0.2681 0.1750 0.3292
0.2681 0.3250 0.8292
0.7319 0.6750 0.1708
0.7319 0.8250 0.6708
0.2302 0.6459 0.7906
0.2302 0.8541 0.2906
0.7698 0.1459 0.7094
0.7698 0.3541 0.2094
0.0349 0.5500 0.8712
0.0349 0.9500 0.3712
0.0744 0.1559 0.8922
0.0744 0.3441 0.3922
0.1041 0.6976 0.3386
0.1041 0.8024 0.8386
0.3026 0.0140 0.2087
0.3026 0.4860 0.7087
0.4373 0.7300 0.7002
0.4373 0.7700 0.2002
0.4683 0.1372 0.5374
0.4683 0.3628 0.0374
0.5317 0.6372 0.9626
0.5317 0.8628 0.4626
0.5627 0.2300 0.7998
0.5627 0.2700 0.2998
0.6974 0.5140 0.2913
0.6974 0.9860 0.7913
0.8959 0.1976 0.1614
0.8959 0.3024 0.6614
0.9256 0.6559 0.6078
0.9256 0.8441 0.1078
0.9651 0.0500 0.6288
0.9651 0.4500 0.1288
```

Values from the calculation:
As for the symmetry: No. 14. The energy above the most stable polymorph in this dataset comes out at 57 kJ/mol of formula units. For the total energy, the calculation gives -5.2388 eV per atom.

***

Entry 3:
A relaxed structure of LiV2F6, computed with PBE with a Hubbard U.

Structure (POSCAR):
```
LiV2F6
1.0
4.7692 0.0000 0.0000
0.0000 4.7692 0.0000
0.0000 0.0000 9.4548
Li V F
2 4 12
direct
0.0000 0.0000 0.0000
0.5000 0.5000 0.5000
0.0000 0.0000 0.3326
0.0000 0.0000 0.6674
0.5000 0.5000 0.1674
0.5000 0.5000 0.8326
0.1943 0.1943 0.5000
0.1990 0.1990 0.1690
0.1990 0.1990 0.8310
0.3010 0.6990 0.3310
0.3010 0.6990 0.6690
0.3057 0.6943 0.0000
0.6943 0.3057 0.0000
0.6990 0.3010 0.3310
0.6990 0.3010 0.6690
0.8010 0.8010 0.1690
0.8010 0.8010 0.8310
0.8057 0.8057 0.5000
```

Values from the calculation:
As for the symmetry: No. 136. For the total energy, the calculation gives -5.9574 eV per atom.

***

Entry 4:
A relaxed structure of Li2VF4, computed with PBE with a Hubbard U.

Structure (POSCAR):
```
Li2VF4
1.0
12.4425 0.0000 0.0000
0.0000 5.9663 0.0000
0.0000 0.0000 8.8413
Li V F
16 8 32
direct
0.0312 0.1606 0.0000
0.1024 0.7493 0.2235
0.1504 0.3403 0.7589
0.2189 0.8773 0.9784
0.2811 0.3773 0.4784
0.3496 0.8403 0.2589
0.3976 0.2493 0.7235
0.4688 0.6606 0.5000
0.5312 0.3394 0.0000
0.6024 0.7507 0.2235
0.6504 0.1597 0.7589
0.7189 0.6227 0.9784
0.7811 0.1227 0.4784
0.8496 0.6597 0.2589
0.8976 0.2507 0.7235
0.9688 0.8394 0.5000
0.0574 0.2761 0.3803
0.1927 0.8288 0.6008
0.3073 0.3288 0.1008
0.4426 0.7761 0.8803
0.5574 0.2239 0.3803
0.6927 0.6712 0.6008
0.8073 0.1712 0.1008
0.9426 0.7239 0.8803
0.0078 0.4111 0.8206
0.0352 0.8653 0.7006
0.0713 0.8235 0.0183
0.1061 0.9342 0.4095
0.1399 0.4865 0.5541
0.1784 0.2213 0.9644
0.2212 0.2582 0.2972
0.2459 0.6552 0.1538
0.2541 0.1552 0.6538
0.2788 0.7582 0.7972
0.3216 0.7213 0.4644
0.3601 0.9865 0.0541
0.3939 0.4342 0.9095
0.4287 0.3235 0.5183
0.4648 0.3653 0.2006
0.4922 0.9111 0.3206
0.5078 0.0889 0.8206
0.5352 0.6347 0.7006
0.5713 0.6765 0.0183
0.6061 0.5658 0.4095
0.6399 0.0135 0.5541
0.6784 0.2787 0.9644
0.7212 0.2418 0.2972
0.7459 0.8448 0.1538
0.7541 0.3448 0.6538
0.7788 0.7418 0.7972
0.8216 0.7787 0.4644
0.8601 0.5135 0.0541
0.8939 0.0658 0.9095
0.9287 0.1765 0.5183
0.9648 0.1347 0.2006
0.9922 0.5889 0.3206
```

Values from the calculation:
As for the symmetry: No. 33. The energy above the most stable polymorph in this dataset comes out at 43 kJ/mol of formula units. For the total energy, the calculation gives -5.4421 eV per atom.